Compound: TaInP2
Source: Alexandria via LeMat-Bulk
Functional: GGA-PBE
Structure: relaxed

a b c (Å): 7.441 7.441 7.441
angles (deg): 27.35 27.35 27.35
Fractional coordinates of all 4 atoms:
1 P 0.988 0.988 0.988
2 P 0.512 0.512 0.512
3 In 0.750 0.750 0.750
4 Ta 0.250 0.250 0.250

- energy of formation (meV/atom) = -280.1
- total magnetic moment (μB per formula unit) = 0.00